# Sr2AgHg

A relaxed structure of Sr2AgHg (PBE, Alexandria).

Cell: 6.4471 4.9202 8.9472 Å, 90.00 110.30 90.00°
Last column: nearest neighbours and their distance in Å.
Atoms (fractional coordinates):
1 Sr 0.2166 0.2500 0.4313  4 Ag 3.41-3.45, 3 Hg 3.42-3.44
2 Sr 0.2221 0.2500 0.9281  3 Ag 3.41-3.43, 4 Hg 3.43-3.44
3 Sr 0.7779 0.7500 0.0719  3 Ag 3.41-3.43, 4 Hg 3.43-3.44
4 Sr 0.7834 0.7500 0.5687  4 Ag 3.41-3.45, 3 Hg 3.42-3.44
5 Ag 0.3539 0.7500 0.7120  2 Hg 3.05, 4 Sr 3.41
6 Ag 0.6461 0.2500 0.2880  2 Hg 3.05, 4 Sr 3.41
7 Hg 0.3469 0.7500 0.2126  2 Ag 3.05
8 Hg 0.6531 0.2500 0.7874  2 Ag 3.05

The symmetry is P2_1/m. For the mass density, the calculation gives 6035 kg/m3. The value obtained for the total energy is -16.3 eV/cell. The magnetic moment comes out at 0.00 μB per cell. The calculation puts the formation energy at -0.410 eV/atom.